Entry 1:
This record from Alexandria describes a relaxed structure of CaMgAs2. The functional is GGA-PBE.

Lattice parameters (Å, degrees): 5.234 3.164 5.239 90.00 90.00 90.00
Atoms (fractional coordinates):
1 As 0.000 0.126 0.875
2 As 0.500 0.126 0.375
3 Ca 0.000 0.626 0.375
4 Mg 0.500 0.622 0.875

Values from the calculation:
- mass density (g/cm³) = 4.100
- electronic total energy (eV/f.u.) = -15.16
- symmetry = P4mm, No. 99
- ΔE_f (meV per atom) = -566
- crystal system = tetragonal


Entry 2:
This record from Alexandria describes a relaxed structure of CaMgAs2. The functional is GGA-PBE.

Lattice parameters (Å, degrees): 4.682 4.685 3.929 90.00 90.00 90.00
Atoms (fractional coordinates):
1 As 0.000 0.000 0.000
2 As 0.500 0.500 0.000
3 Ca 0.500 0.000 0.500
4 Mg 0.000 0.500 0.500

Values from the calculation:
- mass density (g/cm³) = 4.128
- electronic total energy (eV/f.u.) = -15.26
- symmetry = P4/mmm, No. 123
- ΔE_f (meV per atom) = -590
- crystal system = tetragonal


Entry 3:
This record from Alexandria describes a relaxed structure of CaMg3As. The functional is GGA-PBE.

Lattice parameters (Å, degrees): 5.226 5.226 5.226 90.00 90.00 90.00
Atoms (fractional coordinates):
1 Mg 0.000 0.500 0.000
2 Mg 0.000 0.000 0.500
3 Mg 0.500 0.000 0.000
4 As 0.000 0.000 0.000
5 Ca 0.500 0.500 0.500

Values from the calculation:
- mass density (g/cm³) = 2.187
- electronic total energy (eV/f.u.) = -11.63
- symmetry = Pm-3m, No. 221
- ΔE_f (meV per atom) = -39
- crystal system = cubic
- excess energy over the best structure of this formula in the dataset (eV per atom) = 0.0000


Entry 4:
This record from Alexandria describes a relaxed structure of CaMgAs2. The functional is GGA-PBE.

Lattice parameters (Å, degrees): 5.938 5.938 5.938 139.71 139.71 58.30
Atoms (fractional coordinates):
1 As 0.000 0.000 0.000
2 As 0.250 0.750 0.500
3 Ca 0.500 0.500 0.000
4 Mg 0.750 0.250 0.500

Values from the calculation:
- mass density (g/cm³) = 4.100
- electronic total energy (eV/f.u.) = -15.02
- symmetry = I-4m2, No. 119
- ΔE_f (meV per atom) = -530
- crystal system = tetragonal


Entry 5:
This record from Alexandria describes a relaxed structure of Ca2MgAs. The functional is GGA-PBE.

Lattice parameters (Å, degrees): 3.798 3.921 7.111 90.00 90.00 90.00
Atoms (fractional coordinates):
1 As 0.500 0.500 0.750
2 Ca 0.000 0.000 0.967
3 Ca 0.000 0.000 0.533
4 Mg 0.500 0.500 0.250

Values from the calculation:
- mass density (g/cm³) = 2.812
- electronic total energy (eV/f.u.) = -12.60
- symmetry = Pmmm, No. 47
- ΔE_f (meV per atom) = -589
- crystal system = orthorhombic
- excess energy over the best structure of this formula in the dataset (eV per atom) = 0.0483


Entry 6:
This record from Alexandria describes a relaxed structure of CaMg3As. The functional is GGA-PBE.

Lattice parameters (Å, degrees): 5.767 5.767 5.767 90.00 90.00 90.00
Atoms (fractional coordinates):
1 Mg 0.000 0.500 0.000
2 Mg 0.000 0.000 0.500
3 Mg 0.500 0.000 0.000
4 As 0.500 0.500 0.500
5 Ca 0.000 0.000 0.000

Values from the calculation:
- mass density (g/cm³) = 1.627
- electronic total energy (eV/f.u.) = -5.82
- symmetry = Pm-3m, No. 221
- ΔE_f (meV per atom) = 1123
- crystal system = cubic
- excess energy over the best structure of this formula in the dataset (eV per atom) = 1.1620


Entry 7:
This record from Alexandria describes a relaxed structure of CaMg2As. The functional is GGA-PBE.

Lattice parameters (Å, degrees): 3.697 3.697 7.008 90.00 90.00 89.98
Atoms (fractional coordinates):
1 As 0.000 0.000 0.458
2 Ca 0.500 0.500 0.719
3 Mg 0.000 0.000 0.044
4 Mg 0.500 0.500 0.280

Values from the calculation:
- mass density (g/cm³) = 2.837
- electronic total energy (eV/f.u.) = -11.36
- symmetry = P4mm, No. 99
- ΔE_f (meV per atom) = -379
- crystal system = tetragonal


Entry 8:
This record from Alexandria describes a relaxed structure of CaMg2As2. The functional is GGA-PBE.

Lattice parameters (Å, degrees): 4.198 4.198 7.293 73.27 73.27 90.00
Atoms (fractional coordinates):
1 Mg 0.750 0.250 0.500
2 Mg 0.250 0.750 0.500
3 As 0.375 0.375 0.249
4 As 0.625 0.625 0.751
5 Ca 0.000 0.000 0.000

Values from the calculation:
- mass density (g/cm³) = 3.374
- electronic total energy (eV/f.u.) = -18.24
- symmetry = I4/mmm, No. 139
- ΔE_f (meV per atom) = -750
- crystal system = tetragonal